Below is a relaxed structure of CaGa2Ni5, with properties calculated at the GGA-PBE level.

Lattice parameters (Å, degrees): 3.666 6.065 6.065 67.03 72.41 72.41
Fractional coordinates of all 8 atoms:
Ca (0.000, 0.000, 0.000)
Ga (0.753, 0.747, 0.747)
Ga (0.247, 0.253, 0.253)
Ni (0.000, 0.500, 0.500)
Ni (0.637, 0.549, 0.178)
Ni (0.363, 0.451, 0.822)
Ni (0.363, 0.822, 0.451)
Ni (0.637, 0.178, 0.549)

Results
SG = Immm
formation energy from the elements = -0.257 eV/atom
ρ = 6.787 g/cm³
density of states at the Fermi level = 4.40 states/eV/cell
crystal system = orthorhombic

---

Below is a relaxed structure of Fe2Cu2Ag, with properties calculated at the GGA-PBE level.

Lattice parameters (Å, degrees): 7.228 7.228 2.616 90.00 90.00 90.00
Fractional coordinates of all 10 atoms:
Cu (0.177, 0.677, 0.500)
Cu (0.677, 0.823, 0.500)
Cu (0.823, 0.323, 0.500)
Cu (0.323, 0.177, 0.500)
Ag (0.000, 0.000, 0.000)
Ag (0.500, 0.500, 0.000)
Fe (0.384, 0.884, 0.000)
Fe (0.884, 0.616, 0.000)
Fe (0.616, 0.116, 0.000)
Fe (0.116, 0.384, 0.000)

Results
SG = P4/mbm
relative energy among the computed polymorphs = 0 meV per atom
formation energy from the elements = 0.320 eV/atom
ρ = 8.421 g/cm³
density of states at the Fermi level = 11.95 states/eV/cell
crystal system = tetragonal

---

Below is a relaxed structure of Tb2NdIn, with properties calculated at the GGA-PBE level.

Lattice parameters (Å, degrees): 3.622 3.622 9.294 90.00 90.00 90.00
Fractional coordinates of all 4 atoms:
Nd (0.500, 0.500, 0.500)
Tb (0.000, 0.000, 0.778)
Tb (0.000, 0.000, 0.222)
In (0.500, 0.500, 0.000)

Results
SG = P4/mmm
relative energy among the computed polymorphs = 30 meV per atom
formation energy from the elements = -0.237 eV/atom
ρ = 7.859 g/cm³
density of states at the Fermi level = 3.92 states/eV/cell
crystal system = tetragonal

---

What did the second record say?
Below is a relaxed structure of Fe2Cu2Ag, with properties calculated at the GGA-PBE level.

Lattice parameters (Å, degrees): 7.228 7.228 2.616 90.00 90.00 90.00
Fractional coordinates of all 10 atoms:
Cu (0.177, 0.677, 0.500)
Cu (0.677, 0.823, 0.500)
Cu (0.823, 0.323, 0.500)
Cu (0.323, 0.177, 0.500)
Ag (0.000, 0.000, 0.000)
Ag (0.500, 0.500, 0.000)
Fe (0.384, 0.884, 0.000)
Fe (0.884, 0.616, 0.000)
Fe (0.616, 0.116, 0.000)
Fe (0.116, 0.384, 0.000)

Results
SG = P4/mbm
relative energy among the computed polymorphs = 0 meV per atom
formation energy from the elements = 0.320 eV/atom
ρ = 8.421 g/cm³
density of states at the Fermi level = 11.95 states/eV/cell
crystal system = tetragonal